# 1
DFT (PBE) results for a geometry-optimized Sr2Hg structure.

It has space group P6_3/mmc (No. 194), with a = 5.8699 Å, b = 5.8699 Å, c = 7.5779 Å, α = 90.00°, β = 90.00° and γ = 120.00°. The inequivalent atoms are Sr at (0.0000, 0.0000, 0.0000), Sr at (0.3333, 0.6667, 0.2500) and Hg at (0.3333, 0.6667, 0.7500).

For the calculated density, the calculation gives 5.520 g cm⁻³. The formation enthalpy at 0 K is -0.284 eV/atom. Its magnetization is 0.0 μB per cell.


# 2
DFT (PBE) results for a geometry-optimized CuReSn2 structure.

It has space group I-42d (No. 122), with a = 7.381 Å, b = 7.381 Å, c = 5.852 Å, α = 90.00°, β = 90.00° and γ = 90.00°. The inequivalent atoms are Cu at (0.000, 0.000, 0.000), Re at (0.000, 0.000, 0.500) and Sn at (0.242, 0.750, 0.125).

The relative energy among the computed polymorphs is 302 meV per atom. For the calculated density, the calculation gives 10.151 g cm⁻³. The formation enthalpy at 0 K is 0.863 eV/atom. Its magnetization is 3.1 μB per cell.


# 3
DFT (PBE) results for a geometry-optimized Th2Bi2Sb structure.

It has space group Immm (No. 71), with a = 4.533 Å, b = 6.414 Å, c = 13.266 Å, α = 90.00°, β = 90.00° and γ = 90.00°. The inequivalent atoms are Th at (0.000, 0.000, 0.168), Bi at (0.000, 0.500, 0.153) and Sb at (0.000, 0.500, 0.500).

For the calculated density, the calculation gives 8.642 g cm⁻³. The uncorrected formation energy is -321 meV/atom. Its magnetization is 0.0 μB per cell.


# 4
DFT (PBE) results for a geometry-optimized Pr4Sm11Y9 structure.

It has space group Cmmm (No. 65), with a = 17.018 Å, b = 25.571 Å, c = 3.735 Å, α = 90.00°, β = 90.00° and γ = 90.00°. The inequivalent atoms are Pr at (0.154, 0.101, 0.000), Sm at (0.000, 0.135, 0.500), Sm at (0.000, 0.342, 0.500), Sm at (0.000, 0.500, 0.500), Sm at (0.210, 0.000, 0.500), Sm at (0.227, 0.319, 0.500), Y at (0.000, 0.000, 0.000), Y at (0.101, 0.237, 0.000) and Y at (0.139, 0.427, 0.000).

For the calculated density, the calculation gives 6.166 g cm⁻³. The formation enthalpy at 0 K is 0.056 eV/atom. Its magnetization is 0.0 μB per cell.


# 5
DFT (PBE) results for a geometry-optimized Sm6Tm12Sc structure.

It has space group R-3m (No. 166, hexagonal axes), with a = 10.9667 Å, b = 10.9667 Å, c = 17.1720 Å, α = 90.00°, β = 90.00° and γ = 120.00°. The inequivalent atoms are Sm at (0.0730, 0.5365, 0.2640), Tm at (0.1024, 0.5512, 0.9146), Tm at (0.1066, 0.2133, 0.9084) and Sc at (0.0000, 0.0000, 0.5000).

The relative energy among the computed polymorphs is 0 meV per atom. For the calculated density, the calculation gives 8.284 g cm⁻³. The formation enthalpy at 0 K is 0.113 eV/atom. Its magnetization is 0.0 μB per cell.


# 6
DFT (PBE) results for a geometry-optimized PaPt2Au structure.

It has space group Fm-3m (No. 225), with a = 6.779 Å, b = 6.779 Å, c = 6.779 Å, α = 90.00°, β = 90.00° and γ = 90.00°. The inequivalent atoms are Pa at (0.000, 0.000, 0.000), Pt at (0.250, 0.250, 0.250) and Au at (0.000, 0.000, 0.500).

The relative energy among the computed polymorphs is 60 meV per atom. For the calculated density, the calculation gives 17.441 g cm⁻³. The formation enthalpy at 0 K is -0.754 eV/atom. Its magnetization is 0.0 μB per cell.


# 7
DFT (PBE) results for a geometry-optimized ScTa2Fe structure.

It has space group I-42d (No. 122), with a = 7.354 Å, b = 7.354 Å, c = 5.463 Å, α = 90.00°, β = 90.00° and γ = 90.00°. The inequivalent atoms are Sc at (0.000, 0.000, 0.000), Ta at (0.188, 0.750, 0.625) and Fe at (0.000, 0.000, 0.500).

The relative energy among the computed polymorphs is 376 meV per atom. For the calculated density, the calculation gives 10.404 g cm⁻³. The formation enthalpy at 0 K is 0.371 eV/atom. Its magnetization is 0.0 μB per cell.


# 8
DFT (PBE) results for a geometry-optimized Li2Sn2Pb structure.

It has space group P4/mbm (No. 127), with a = 8.163 Å, b = 8.163 Å, c = 3.497 Å, α = 90.00°, β = 90.00° and γ = 90.00°. The inequivalent atoms are Li at (0.159, 0.341, 0.000), Sn at (0.138, 0.638, 0.500) and Pb at (0.000, 0.000, 0.000).

The relative energy among the computed polymorphs is 50 meV per atom. For the calculated density, the calculation gives 6.535 g cm⁻³. The formation enthalpy at 0 K is -0.168 eV/atom. Its magnetization is 0.0 μB per cell.


# 9
DFT (PBE) results for a geometry-optimized ErOs4 structure.

It has space group Pm-3m (No. 221), with a = 4.689 Å, b = 4.689 Å, c = 4.689 Å, α = 90.00°, β = 90.00° and γ = 90.00°. The inequivalent atoms are Er at (0.000, 0.000, 0.000), Os at (0.000, 0.000, 0.500) and Os at (0.500, 0.500, 0.500).

For the calculated density, the calculation gives 14.955 g cm⁻³. The formation enthalpy at 0 K is 3.331 eV/atom. Its magnetization is 1.1 μB per cell.


# 10
DFT (PBE) results for a geometry-optimized ThBi2Au structure.

It has space group Pnma (No. 62), with a = 6.649 Å, b = 4.664 Å, c = 15.109 Å, α = 90.00°, β = 90.00° and γ = 90.00°. The inequivalent atoms are Th at (0.210, 0.250, 0.130), Bi at (0.011, 0.750, 0.272), Bi at (0.183, 0.250, 0.470) and Au at (0.094, 0.250, 0.915).

For the calculated density, the calculation gives 12.009 g cm⁻³. The formation enthalpy at 0 K is -0.412 eV/atom. Its magnetization is 0.0 μB per cell.


# 11
DFT (PBE) results for a geometry-optimized Fe2Pd2Pt7 structure.

It has space group Imm2 (No. 44), with a = 3.995 Å, b = 11.845 Å, c = 7.247 Å, α = 90.00°, β = 90.00° and γ = 90.00°. The inequivalent atoms are Fe at (0.000, 0.189, 0.000), Pd at (0.000, 0.000, 0.807), Pd at (0.000, 0.500, 0.004), Pt at (0.000, 0.000, 0.199), Pt at (0.000, 0.158, 0.501), Pt at (0.000, 0.339, 0.274) and Pt at (0.000, 0.342, 0.726).

For the calculated density, the calculation gives 16.365 g cm⁻³. The formation enthalpy at 0 K is -0.073 eV/atom. Its magnetization is 16.8 μB per cell.


# 12
DFT (PBE) results for a geometry-optimized Mg2CdPd4 structure.

It has space group I4/mmm (No. 139), with a = 6.013 Å, b = 6.013 Å, c = 6.898 Å, α = 90.00°, β = 90.00° and γ = 90.00°. The inequivalent atoms are Mg at (0.000, 0.500, 0.000), Cd at (0.000, 0.000, 0.000) and Pd at (0.250, 0.250, 0.250).

For the calculated density, the calculation gives 7.812 g cm⁻³. The formation enthalpy at 0 K is -0.413 eV/atom. Its magnetization is 0.0 μB per cell.